AsOs2Pt: optimized geometry, PBE.

Volume   14.93 Å³ per atom
Size of the total moment   0.0 μB per cell
ΔE_f   0.451 eV/atom
Density   18.08 g cm⁻³

The structure in CIF format:
```
data_AsOs2Pt
_chemical_formula_sum 'As2 Os4 Pt2'
_symmetry_space_group_name_H-M 'C m m m'
_symmetry_Int_Tables_number 65
_symmetry_space_group_name_Hall '-C 2 2'
_cell_length_a 5.8924
_cell_length_b 7.0194
_cell_length_c 2.8880
_cell_angle_alpha 90.00
_cell_angle_beta 90.00
_cell_angle_gamma 90.00
loop_
_atom_site_label
_atom_site_type_symbol
_atom_site_fract_x
_atom_site_fract_y
_atom_site_fract_z
As1 As 0.0000 0.0000 0.0000
Os1 Os 0.2500 0.2500 0.5000
Pt1 Pt 0.0000 0.5000 0.0000
```

=====

AsOs2Pt: optimized geometry, PBE.

Volume   14.91 Å³ per atom
Size of the total moment   0.0 μB per cell
ΔE_f   0.372 eV/atom
Density   18.11 g cm⁻³

The structure in CIF format:
```
data_AsOs2Pt
_chemical_formula_sum 'As3 Os6 Pt3'
_symmetry_space_group_name_H-M 'R -3 m'
_symmetry_Int_Tables_number 166
_symmetry_space_group_name_Hall '-R 3 2"'
_cell_length_a 2.8664
_cell_length_b 2.8664
_cell_length_c 25.1507
_cell_angle_alpha 90.00
_cell_angle_beta 90.00
_cell_angle_gamma 120.00
loop_
_atom_site_label
_atom_site_type_symbol
_atom_site_fract_x
_atom_site_fract_y
_atom_site_fract_z
As1 As 0.0000 0.0000 0.0000
Os1 Os 0.0000 0.0000 0.2568
Pt1 Pt 0.0000 0.0000 0.5000
```

=====

AsOsPt2: optimized geometry, PBE.

Volume   15.68 Å³ per atom
Size of the total moment   1.8 μB per cell
ΔE_f   0.415 eV/atom
Density   17.35 g cm⁻³

The structure in CIF format:
```
data_AsOsPt2
_chemical_formula_sum 'As2 Os2 Pt4'
_symmetry_space_group_name_H-M 'I 4/m m m'
_symmetry_Int_Tables_number 139
_symmetry_space_group_name_Hall '-I 4 2'
_cell_length_a 3.8866
_cell_length_b 3.8866
_cell_length_c 8.3053
_cell_angle_alpha 90.00
_cell_angle_beta 90.00
_cell_angle_gamma 90.00
loop_
_atom_site_label
_atom_site_type_symbol
_atom_site_fract_x
_atom_site_fract_y
_atom_site_fract_z
As1 As 0.0000 0.0000 0.0000
Os1 Os 0.0000 0.0000 0.5000
Pt1 Pt 0.0000 0.5000 0.2500
```

=====

AsOs2Pt: optimized geometry, PBE.

Volume   15.77 Å³ per atom
Size of the total moment   1.1 μB per cell
ΔE_f   0.519 eV/atom
Density   17.12 g cm⁻³

The structure in CIF format:
```
data_AsOs2Pt
_chemical_formula_sum 'As2 Os4 Pt2'
_symmetry_space_group_name_H-M 'C m m 2'
_symmetry_Int_Tables_number 35
_cell_length_a 2.7562
_cell_length_b 4.8022
_cell_length_c 9.5319
_cell_angle_alpha 90.00
_cell_angle_beta 90.00
_cell_angle_gamma 90.00
loop_
_symmetry_equiv_pos_as_xyz
'x,y,z'
'-x,-y,z'
'-x,y,z'
'x,-y,z'
'x+1/2,y+1/2,z'
'-x+1/2,-y+1/2,z'
'-x+1/2,y+1/2,z'
'x+1/2,-y+1/2,z'
loop_
_atom_site_label
_atom_site_type_symbol
_atom_site_fract_x
_atom_site_fract_y
_atom_site_fract_z
As1 As 0.0000 0.0000 0.0000
Os1 Os 0.0000 0.0000 0.5215
Os2 Os 0.0000 0.5000 0.7536
Pt1 Pt 0.0000 0.5000 0.2678
```